Here is a relaxed MgBe2Tc crystal from the Alexandria database. Energies are from PBE.

Lattice parameters (Å, degrees): 3.777 3.777 8.537 77.22 77.22 90.00
Element x y z (fractional)
Mg 0.250 0.750 0.500
Mg 0.500 0.500 0.000
Be 0.018 0.625 0.250
Be 0.875 0.982 0.750
Be 0.375 0.268 0.750
Be 0.732 0.125 0.250
Tc 0.750 0.250 0.500
Tc 0.000 0.000 0.000

## Properties
density	4029	kg/m3
ΔE to the lowest computed polymorph	0.5439	eV per atom
total magnetization	0.000	Bohr magnetons per cell
ΔE_f	55.97	kJ per mole of atoms



Here is a relaxed MgBeTc4 crystal from the Alexandria database. Energies are from PBE.

Lattice parameters (Å, degrees): 5.114 5.114 5.114 60.00 60.00 60.00
Element x y z (fractional)
Be 0.250 0.250 0.250
Tc 0.625 0.126 0.625
Tc 0.625 0.625 0.126
Tc 0.625 0.625 0.625
Tc 0.126 0.625 0.625
Mg 0.000 0.000 0.000

## Properties
density	7467	kg/m3
total magnetization	0.000	Bohr magnetons per cell
ΔE_f	41.97	kJ per mole of atoms



Here is a relaxed MgBe2Tc crystal from the Alexandria database. Energies are from PBE.

Lattice parameters (Å, degrees): 4.316 4.316 5.062 83.71 83.71 34.85
Element x y z (fractional)
Be 0.507 0.507 0.429
Be 0.993 0.993 0.071
Tc 0.250 0.250 0.250
Mg 0.750 0.750 0.750

## Properties
density	4354	kg/m3
ΔE to the lowest computed polymorph	0.1430	eV per atom
total magnetization	0.000	Bohr magnetons per cell
ΔE_f	17.29	kJ per mole of atoms



Here is a relaxed MgBe2Tc crystal from the Alexandria database. Energies are from PBE.

Lattice parameters (Å, degrees): 3.862 3.862 3.212 90.00 90.00 90.00
Element x y z (fractional)
Mg 0.500 0.000 0.500
Be 0.000 0.000 0.000
Be 0.500 0.500 0.000
Tc 0.000 0.500 0.500

## Properties
density	4865	kg/m3
ΔE to the lowest computed polymorph	0.0000	eV per atom
total magnetization	0.000	Bohr magnetons per cell
ΔE_f	3.49	kJ per mole of atoms



Here is a relaxed Mg2BeTc crystal from the Alexandria database. Energies are from PBE.

Lattice parameters (Å, degrees): 4.371 2.729 5.226 76.86 90.00 90.00
Element x y z (fractional)
Mg 0.000 0.557 0.501
Mg 0.000 0.943 0.999
Be 0.500 0.750 0.750
Tc 0.500 0.250 0.250

## Properties
density	4258	kg/m3
ΔE to the lowest computed polymorph	0.1892	eV per atom
total magnetization	0.000	Bohr magnetons per cell
ΔE_f	32.27	kJ per mole of atoms



Here is a relaxed MgBe3Te crystal from the Alexandria database. Energies are from PBE.

Lattice parameters (Å, degrees): 4.609 4.609 4.609 90.00 90.00 90.00
Element x y z (fractional)
Mg 0.000 0.000 0.000
Be 0.000 0.000 0.500
Be 0.000 0.500 0.000
Be 0.500 0.000 0.000
Te 0.500 0.500 0.500

## Properties
density	3035	kg/m3
ΔE to the lowest computed polymorph	0.1771	eV per atom
total magnetization	0.000	Bohr magnetons per cell



Here is a relaxed Mg4BeTe crystal from the Alexandria database. Energies are from PBE.

Lattice parameters (Å, degrees): 5.761 5.761 5.761 60.00 60.00 60.00
Element x y z (fractional)
Mg 0.876 0.375 0.375
Mg 0.375 0.375 0.876
Mg 0.375 0.375 0.375
Mg 0.375 0.876 0.375
Te 0.750 0.750 0.750
Be 0.000 0.000 0.000

## Properties
calculated total energy	-11.1	eV per cell
density	2872	kg/m3
total magnetization	0.000	Bohr magnetons per cell



Here is a relaxed MgBe4Te crystal from the Alexandria database. Energies are from PBE.

Lattice parameters (Å, degrees): 4.857 4.857 4.857 60.00 60.00 60.00
Element x y z (fractional)
Be 0.379 0.379 0.863
Be 0.379 0.379 0.379
Be 0.379 0.863 0.379
Be 0.863 0.379 0.379
Mg 0.750 0.750 0.750
Te 0.000 0.000 0.000

## Properties
calculated total energy	-16.8	eV per cell
density	3851	kg/m3
total magnetization	0.000	Bohr magnetons per cell



Here is a relaxed MgBe3Te crystal from the Alexandria database. Energies are from PBE.

Lattice parameters (Å, degrees): 4.769 4.769 4.769 90.00 90.00 90.00
Element x y z (fractional)
Be 0.500 0.000 0.000
Be 0.000 0.000 0.500
Be 0.000 0.500 0.000
Mg 0.500 0.500 0.500
Te 0.000 0.000 0.000

## Properties
density	2739	kg/m3
ΔE to the lowest computed polymorph	0.0000	eV per atom
total magnetization	0.000	Bohr magnetons per cell



Here is a relaxed Mg2TiBeTe crystal from the Alexandria database. Energies are from PBE.

Lattice parameters (Å, degrees): 5.441 4.585 5.441 90.00 90.00 90.00
Element x y z (fractional)
Te 0.000 0.000 0.000
Be 0.000 0.500 0.000
Ti 0.500 0.500 0.500
Mg 0.500 0.000 0.000
Mg 0.000 0.000 0.500

## Properties
calculated total energy	-12.7	eV per cell
density	2852	kg/m3
total magnetization	2.168	Bohr magnetons per cell



Here is a relaxed YMgBe2Te crystal from the Alexandria database. Energies are from PBE.

Lattice parameters (Å, degrees): 5.129 5.898 5.129 90.00 90.00 90.00
Element x y z (fractional)
Be 0.000 0.000 0.500
Be 0.500 0.000 0.000
Y 0.000 0.000 0.000
Mg 0.000 0.500 0.000
Te 0.500 0.500 0.500

## Properties
calculated total energy	-11.5	eV per cell
density	2770	kg/m3
total magnetization	0.000	Bohr magnetons per cell



Here is a relaxed MgZrBe2Te crystal from the Alexandria database. Energies are from PBE.

Lattice parameters (Å, degrees): 4.648 5.220 4.648 90.00 90.00 90.00
Element x y z (fractional)
Mg 0.000 0.500 0.000
Be 0.000 0.000 0.500
Be 0.500 0.000 0.000
Zr 0.500 0.500 0.500
Te 0.000 0.000 0.000

## Properties
density	3844	kg/m3
ΔE to the lowest computed polymorph	0.1975	eV per atom
total magnetization	0.427	Bohr magnetons per cell



Here is a relaxed MgZrBe2Te crystal from the Alexandria database. Energies are from PBE.

Lattice parameters (Å, degrees): 4.681 5.365 4.681 90.00 90.00 90.00
Element x y z (fractional)
Mg 0.500 0.500 0.500
Be 0.500 0.000 0.000
Be 0.000 0.000 0.500
Te 0.000 0.000 0.000
Zr 0.000 0.500 0.000

## Properties
density	3688	kg/m3
ΔE to the lowest computed polymorph	0.0000	eV per atom
total magnetization	0.000	Bohr magnetons per cell



Here is a relaxed Th2MgBe crystal from the Alexandria database. Energies are from PBE.

Lattice parameters (Å, degrees): 3.586 3.586 7.731 90.00 90.00 90.00
Element x y z (fractional)
Be 0.500 0.500 0.000
Mg 0.500 0.500 0.500
Th 0.000 0.000 0.219
Th 0.000 0.000 0.781

## Properties
density	8309	kg/m3
total magnetization	0.000	Bohr magnetons per cell
ΔE_f	16.46	kJ per mole of atoms



Here is a relaxed ThMgBe17 crystal from the Alexandria database. Energies are from PBE.

Lattice parameters (Å, degrees): 5.848 5.848 5.848 83.30 83.30 83.30
Element x y z (fractional)
Be 0.278 0.721 0.006
Be 0.663 0.155 0.663
Be 0.503 0.997 0.997
Be 0.852 0.332 0.332
Be 0.663 0.663 0.155
Be 0.906 0.906 0.906
Be 0.278 0.006 0.721
Be 0.006 0.278 0.721
Be 0.332 0.852 0.332
Be 0.997 0.997 0.503
Be 0.097 0.097 0.097
Be 0.155 0.663 0.663
Be 0.332 0.332 0.852
Be 0.721 0.006 0.278
Be 0.006 0.721 0.278
Be 0.721 0.278 0.006
Be 0.997 0.503 0.997
Mg 0.341 0.341 0.341
Th 0.654 0.654 0.654

## Properties
density	3467	kg/m3
total magnetization	0.000	Bohr magnetons per cell
ΔE_f	1.39	kJ per mole of atoms



Here is a relaxed ThMgBeZn crystal from the Alexandria database. Energies are from PBE.

Lattice parameters (Å, degrees): 4.847 4.847 4.847 60.00 60.00 60.00
Element x y z (fractional)
Zn 0.000 0.000 0.000
Mg 0.750 0.750 0.750
Th 0.250 0.250 0.250
Be 0.500 0.500 0.500

## Properties
density	6821	kg/m3
total magnetization	0.000	Bohr magnetons per cell
ΔE_f	1.11	kJ per mole of atoms



Here is a relaxed MgTi2Be crystal from the Alexandria database. Energies are from PBE.

Lattice parameters (Å, degrees): 7.194 7.194 5.684 50.74 50.74 90.00
Element x y z (fractional)
Ti 0.375 0.412 0.750
Ti 0.875 0.838 0.750
Ti 0.162 0.625 0.250
Ti 0.588 0.125 0.250
Be 0.500 0.500 0.000
Be 0.250 0.750 0.500
Mg 0.000 0.000 0.000
Mg 0.750 0.250 0.500

## Properties
density	3265	kg/m3
total magnetization	0.000	Bohr magnetons per cell
ΔE_f	45.34	kJ per mole of atoms



Here is a relaxed MgTi3Be crystal from the Alexandria database. Energies are from PBE.

Lattice parameters (Å, degrees): 4.701 4.701 4.701 90.00 90.00 90.00
Element x y z (fractional)
Ti 0.000 0.000 0.500
Ti 0.500 0.000 0.000
Ti 0.000 0.500 0.000
Be 0.500 0.500 0.500
Mg 0.000 0.000 0.000

## Properties
density	2827	kg/m3
total magnetization	0.000	Bohr magnetons per cell
ΔE_f	152.22	kJ per mole of atoms



Here is a relaxed MgTiBe2 crystal from the Alexandria database. Energies are from PBE.

Lattice parameters (Å, degrees): 6.587 6.587 5.410 52.50 52.50 90.00
Element x y z (fractional)
Be 0.375 0.370 0.750
Be 0.630 0.125 0.250
Be 0.875 0.880 0.750
Be 0.120 0.625 0.250
Mg 0.250 0.750 0.500
Mg 0.500 0.500 0.000
Ti 0.750 0.250 0.500
Ti 0.000 0.000 0.000

## Properties
density	2509	kg/m3
total magnetization	0.000	Bohr magnetons per cell
ΔE_f	62.27	kJ per mole of atoms



Here is a relaxed MgTi2Be crystal from the Alexandria database. Energies are from PBE.

Lattice parameters (Å, degrees): 2.783 2.783 8.238 90.00 90.00 90.00
Element x y z (fractional)
Be 0.500 0.500 0.000
Mg 0.500 0.500 0.500
Ti 0.000 0.000 0.195
Ti 0.000 0.000 0.805

## Properties
density	3359	kg/m3
total magnetization	0.393	Bohr magnetons per cell
ΔE_f	4.30	kJ per mole of atoms



Here is a relaxed MgTiBe4 crystal from the Alexandria database. Energies are from PBE.

Lattice parameters (Å, degrees): 4.583 4.583 4.583 60.00 60.00 60.00
Element x y z (fractional)
Mg 0.000 0.000 0.000
Be 0.621 0.138 0.621
Be 0.621 0.621 0.621
Be 0.621 0.621 0.138
Be 0.138 0.621 0.621
Ti 0.250 0.250 0.250

## Properties
density	2640	kg/m3
total magnetization	0.001	Bohr magnetons per cell
ΔE_f	1.55	kJ per mole of atoms



Here is a relaxed Y2MgTiBe crystal from the Alexandria database. Energies are from PBE.

Lattice parameters (Å, degrees): 5.184 5.236 5.184 90.00 90.00 90.00
Element x y z (fractional)
Y 0.500 0.000 0.000
Y 0.000 0.000 0.500
Mg 0.000 0.500 0.000
Ti 0.000 0.000 0.000
Be 0.500 0.500 0.500

## Properties
density	3056	kg/m3
total magnetization	0.541	Bohr magnetons per cell
ΔE_f	100.01	kJ per mole of atoms



Here is a relaxed MgBeTl2 crystal from the Alexandria database. Energies are from PBE.

Lattice parameters (Å, degrees): 5.720 5.720 5.720 136.12 136.12 63.80
Element x y z (fractional)
Be 0.500 0.500 0.000
Tl 0.000 0.000 0.000
Tl 0.250 0.750 0.500
Mg 0.750 0.250 0.500

## Properties
density	8271	kg/m3
ΔE to the lowest computed polymorph	0.1144	eV per atom
total magnetization	0.000	Bohr magnetons per cell
ΔE_f	42.84	kJ per mole of atoms



Here is a relaxed MgBeTl2 crystal from the Alexandria database. Energies are from PBE.

Lattice parameters (Å, degrees): 4.628 4.628 9.549 75.98 75.98 90.00
Element x y z (fractional)
Be 0.500 0.500 0.000
Be 0.250 0.750 0.500
Tl 0.375 0.405 0.750
Tl 0.155 0.625 0.250
Tl 0.595 0.125 0.250
Tl 0.875 0.845 0.750
Mg 0.000 0.000 0.000
Mg 0.750 0.250 0.500

## Properties
density	7641	kg/m3
ΔE to the lowest computed polymorph	0.1569	eV per atom
total magnetization	0.000	Bohr magnetons per cell
ΔE_f	46.93	kJ per mole of atoms



Here is a relaxed MgBe2Tl crystal from the Alexandria database. Energies are from PBE.

Lattice parameters (Å, degrees): 4.694 4.694 4.929 87.70 87.70 41.29
Element x y z (fractional)
Be 0.471 0.471 0.605
Be 0.029 0.029 0.895
Tl 0.250 0.250 0.250
Mg 0.750 0.750 0.750

## Properties
density	5722	kg/m3
ΔE to the lowest computed polymorph	0.1888	eV per atom
total magnetization	0.000	Bohr magnetons per cell
ΔE_f	52.53	kJ per mole of atoms



Here is a relaxed MgBeTl2 crystal from the Alexandria database. Energies are from PBE.

Lattice parameters (Å, degrees): 4.991 4.991 4.991 60.00 60.00 60.00
Element x y z (fractional)
Tl 0.750 0.750 0.750
Tl 0.250 0.250 0.250
Mg 0.500 0.500 0.500
Be 0.000 0.000 0.000

## Properties
density	8353	kg/m3
ΔE to the lowest computed polymorph	0.1116	eV per atom
total magnetization	0.000	Bohr magnetons per cell
ΔE_f	42.57	kJ per mole of atoms



Here is a relaxed MgBeTl2 crystal from the Alexandria database. Energies are from PBE.

Lattice parameters (Å, degrees): 3.481 3.481 7.605 90.00 90.00 104.21
Element x y z (fractional)
Mg 0.500 0.500 0.750
Tl 0.000 0.000 0.467
Tl 0.000 0.000 0.033
Be 0.500 0.500 0.250

## Properties
density	8216	kg/m3
ΔE to the lowest computed polymorph	0.0624	eV per atom
total magnetization	0.000	Bohr magnetons per cell
ΔE_f	37.82	kJ per mole of atoms



Here is a relaxed MgBe2Tl crystal from the Alexandria database. Energies are from PBE.

Lattice parameters (Å, degrees): 3.845 3.757 4.945 67.46 90.00 90.00
Element x y z (fractional)
Tl 0.500 0.776 0.824
Be 0.500 0.067 0.241
Be 0.000 0.179 0.018
Mg 0.000 0.478 0.417

## Properties
density	6208	kg/m3
ΔE to the lowest computed polymorph	0.0426	eV per atom
total magnetization	0.000	Bohr magnetons per cell
ΔE_f	38.43	kJ per mole of atoms